1) The following is a DFT calculation (PBE-GGA) of a geometry-optimized BeCr3Mo structure.

Calculated values
**Space-group type**: Pm-3m

Cell and atoms, written as extended XYZ:
```
5
Lattice="3.959 0.000 0.000 0.000 3.959 0.000 0.000 0.000 3.959" Properties=species:S:1:pos:R:3 pbc="T T T"
Be 0.000 0.000 0.000
Cr 0.000 0.000 1.980
Cr 0.000 1.980 0.000
Cr 1.980 0.000 0.000
Mo 1.980 1.980 1.980
```

2) The following is a DFT calculation (PBE-GGA) of a geometry-optimized BeCr3Mo structure.

Calculated values
**Space-group type**: Pm-3m

Cell and atoms, written as extended XYZ:
```
5
Lattice="4.612 0.000 0.000 0.000 4.612 0.000 0.000 0.000 4.612" Properties=species:S:1:pos:R:3 pbc="T T T"
Be 0.000 0.000 0.000
Cr 0.000 2.306 2.306
Cr 2.306 0.000 2.306
Cr 2.306 2.306 0.000
Mo 2.306 2.306 2.306
```

Which of them is the most stable? Correct choice: 1).

1) The following is a DFT calculation (PBE-GGA) of a geometry-optimized Be3CrN structure.

Calculated values
**Space-group type**: Pm-3m

Cell and atoms, written as extended XYZ:
```
5
Lattice="3.562 0.000 0.000 0.000 3.562 0.000 0.000 0.000 3.562" Properties=species:S:1:pos:R:3 pbc="T T T"
Be 0.000 0.000 1.781
Be 0.000 1.781 0.000
Be 1.781 0.000 0.000
Cr 1.781 1.781 1.781
N 0.000 0.000 0.000
```

2) The following is a DFT calculation (PBE-GGA) of a geometry-optimized Be3CrN structure.

Calculated values
**Space-group type**: Pm-3m

Cell and atoms, written as extended XYZ:
```
5
Lattice="4.171 0.000 0.000 0.000 4.171 0.000 0.000 0.000 4.171" Properties=species:S:1:pos:R:3 pbc="T T T"
Be 0.000 0.000 2.086
Be 0.000 2.086 0.000
Be 2.086 0.000 0.000
Cr 0.000 0.000 0.000
N 2.086 2.086 2.086
```

Which of them is the most stable? Correct choice: 1).

1) The following is a DFT calculation (PBE-GGA) of a geometry-optimized BeCr2N structure.

Calculated values
**Space-group type**: Fm-3m

Cell and atoms, written as extended XYZ:
```
4
Lattice="0.000 2.611 2.611 2.611 0.000 2.611 2.611 2.611 0.000" Properties=species:S:1:pos:R:3 pbc="T T T"
Be 0.000 0.000 0.000
Cr 1.306 1.306 1.306
Cr 3.917 3.917 3.917
N 2.611 2.611 2.611
```

2) The following is a DFT calculation (PBE-GGA) of a geometry-optimized BeCr2N structure.

Calculated values
**Space-group type**: I-42d

Cell and atoms, written as extended XYZ:
```
8
Lattice="-2.790 2.790 2.553 2.790 -2.790 2.553 2.790 2.790 -2.553" Properties=species:S:1:pos:R:3 pbc="T T T"
Be 0.000 0.000 0.000
Be 0.000 2.790 1.277
Cr 1.395 1.743 -0.638
Cr 3.837 1.395 0.638
Cr 1.395 1.047 1.915
Cr -1.047 1.395 3.191
N 2.790 0.000 1.277
N 0.000 0.000 2.553
```

Which of them is the most stable? Correct choice: 2).

1) The following is a DFT calculation (PBE-GGA) of a geometry-optimized BeCrSe2N structure.

Calculated values
**Space-group type**: P4/mmm

Cell and atoms, written as extended XYZ:
```
5
Lattice="4.914 0.000 0.000 0.000 4.914 0.000 0.000 0.000 3.485" Properties=species:S:1:pos:R:3 pbc="T T T"
Be 0.000 0.000 0.000
Cr 2.457 2.457 1.743
Se 0.000 2.457 1.743
Se 2.457 0.000 1.743
N 2.457 2.457 0.000
```

2) The following is a DFT calculation (PBE-GGA) of a geometry-optimized BeCrSe2N structure.

Calculated values
**Space-group type**: P4/mmm

Cell and atoms, written as extended XYZ:
```
5
Lattice="4.947 0.000 0.000 0.000 4.947 0.000 0.000 0.000 3.105" Properties=species:S:1:pos:R:3 pbc="T T T"
Be 0.000 0.000 0.000
Cr 2.473 2.473 1.553
Se 0.000 2.473 0.000
Se 2.473 0.000 0.000
N 0.000 0.000 1.553
```

Which of them is the most stable? Correct choice: 2).

1) The following is a DFT calculation (PBE-GGA) of a geometry-optimized BeCrTe2N structure.

Calculated values
**Space-group type**: P4/mmm

Cell and atoms, written as extended XYZ:
```
5
Lattice="5.260 0.000 0.000 0.000 5.260 0.000 0.000 0.000 3.066" Properties=species:S:1:pos:R:3 pbc="T T T"
Be 0.000 0.000 0.000
Cr 2.630 2.630 1.533
Te 0.000 2.630 0.000
Te 2.630 0.000 0.000
N 0.000 0.000 1.533
```

2) The following is a DFT calculation (PBE-GGA) of a geometry-optimized BeCrTe2N structure.

Calculated values
**Space-group type**: P4/mmm

Cell and atoms, written as extended XYZ:
```
5
Lattice="5.285 0.000 0.000 0.000 5.285 0.000 0.000 0.000 3.508" Properties=species:S:1:pos:R:3 pbc="T T T"
Be 0.000 0.000 0.000
Cr 2.642 2.642 1.754
Te 0.000 2.642 1.754
Te 2.642 0.000 1.754
N 2.642 2.642 0.000
```

Which of them is the most stable? Correct choice: 2).

1) The following is a DFT calculation (PBE-GGA) of a geometry-optimized NaBe3Cr structure.

Calculated values
**Space-group type**: Pm-3m

Cell and atoms, written as extended XYZ:
```
5
Lattice="4.007 0.000 0.000 0.000 4.007 0.000 0.000 0.000 4.007" Properties=species:S:1:pos:R:3 pbc="T T T"
Na 0.000 0.000 0.000
Be 0.000 0.000 2.003
Be 0.000 2.003 0.000
Be 2.003 0.000 0.000
Cr 2.003 2.003 2.003
```

2) The following is a DFT calculation (PBE-GGA) of a geometry-optimized NaBe3Cr structure.

Calculated values
**Space-group type**: Pm-3m

Cell and atoms, written as extended XYZ:
```
5
Lattice="4.449 0.000 0.000 0.000 4.449 0.000 0.000 0.000 4.449" Properties=species:S:1:pos:R:3 pbc="T T T"
Na 0.000 0.000 0.000
Be 0.000 2.224 2.224
Be 2.224 0.000 2.224
Be 2.224 2.224 0.000
Cr 2.224 2.224 2.224
```

Which of them is the most stable? Correct choice: 2).